(1)
# In2RuW

A geometry-optimized In2RuW structure (GGA-PBE, Alexandria via LeMat-Bulk).

Values from the calculation:
Fermi-level density of states	4.6	states/eV/cell
raw total energy	-6.3797	eV/atom
calculated volume	71	Å³/f.u.
DFT formation energy	0.55	eV per atom
space-group type	P4/mmm, No. 123
M_tot	0.00	μB/cell
crystal system	tetragonal
distance to the lowest polymorph of the same formula	0.3548	eV/atom

```
4
Lattice="4.767 0.000 0.000 0.000 4.767 0.000 0.000 0.000 3.108" Properties=species:S:1:pos:R:3 pbc="T T T"
In 0.000 2.384 0.000
In 2.384 0.000 0.000
Ru 0.000 0.000 1.554
W 2.384 2.384 1.554
```

***

(2)
# Mn4VW

A geometry-optimized Mn4VW structure (GGA-PBE, Alexandria via LeMat-Bulk).

Values from the calculation:
Fermi-level density of states	10.0	states/eV/cell
raw total energy	-9.8585	eV/atom
calculated volume	73	Å³/f.u.
DFT formation energy	-0.07	eV per atom
space-group type	F-43m, No. 216
M_tot	0.00	μB/cell
crystal system	cubic

```
6
Lattice="0.000 3.314 3.314 3.314 0.000 3.314 3.314 3.314 0.000" Properties=species:S:1:pos:R:3 pbc="T T T"
Mn 2.492 2.492 2.492
Mn 4.137 4.137 2.492
Mn 4.137 2.492 4.137
Mn 2.492 4.137 4.137
V 4.972 4.972 4.972
W 0.000 0.000 0.000
```

***

(3)
# Ac2TlIn3

A geometry-optimized Ac2TlIn3 structure (GGA-PBE, Alexandria via LeMat-Bulk).

Values from the calculation:
Fermi-level density of states	5.6	states/eV/cell
raw total energy	-3.5255	eV/atom
calculated volume	188	Å³/f.u.
DFT formation energy	-0.39	eV per atom
space-group type	Pmm2, No. 25
M_tot	0.00	μB/cell
crystal system	orthorhombic
distance to the lowest polymorph of the same formula	0.0333	eV/atom

```
6
Lattice="3.962 0.000 0.000 0.000 5.193 0.000 0.000 0.000 9.140" Properties=species:S:1:pos:R:3 pbc="T T T"
Ac 0.000 0.000 0.000
Ac 0.000 2.596 4.560
Tl 1.981 2.596 7.622
In 1.981 0.000 3.027
In 1.981 0.000 6.055
In 1.981 2.596 1.555
```

***

(4)
# Ac6Y3Er

A geometry-optimized Ac6Y3Er structure (GGA-PBE, Alexandria via LeMat-Bulk).

Values from the calculation:
Fermi-level density of states	28.7	states/eV/cell
raw total energy	-4.7293	eV/atom
calculated volume	400	Å³/f.u.
DFT formation energy	0.13	eV per atom
space-group type	R-3, No. 148
M_tot	0.00	μB/cell
crystal system	trigonal

```
20
Lattice="8.366 4.830 3.300 -8.366 4.830 3.300 0.000 -9.660 3.300" Properties=species:S:1:pos:R:3 pbc="T T T"
Ac -2.467 -3.375 3.485
Ac -5.324 2.477 3.250
Ac 0.517 -5.849 3.250
Ac -4.807 -3.372 6.650
Ac -1.690 3.824 3.485
Ac -4.156 0.449 6.415
Ac 4.156 -0.449 3.485
Ac 1.690 -3.824 6.415
Ac 4.807 3.372 3.250
Ac -0.517 5.849 6.650
Ac 5.324 -2.477 6.650
Ac 2.467 3.375 6.415
Y -2.293 0.224 2.864
Y 0.952 -2.097 2.864
Y 1.340 1.873 2.864
Y -1.340 -1.873 7.036
Y -0.952 2.097 7.036
Y 2.292 -0.224 7.036
Er 0.000 0.000 0.000
Er 0.000 0.000 4.950
```

***

(5)
# Hf2TeAsBr

A geometry-optimized Hf2TeAsBr structure (GGA-PBE, Alexandria via LeMat-Bulk).

Values from the calculation:
Fermi-level density of states	4.3	states/eV/cell
raw total energy	-4.9216	eV/atom
calculated volume	150	Å³/f.u.
space-group type	P4/mmm, No. 123
M_tot	0.00	μB/cell
crystal system	tetragonal
raw formation energy	0.95	eV/atom

```
5
Lattice="5.350 0.000 0.000 0.000 5.350 0.000 0.000 0.000 5.257" Properties=species:S:1:pos:R:3 pbc="T T T"
Hf 0.000 2.675 0.000
Hf 2.675 0.000 0.000
Te 0.000 0.000 0.000
As 0.000 0.000 2.629
Br 2.675 2.675 2.629
```

***

(6)
# NaThPaO6

A geometry-optimized NaThPaO6 structure (GGA-PBE, Alexandria via LeMat-Bulk).

Values from the calculation:
Fermi-level density of states	9.5	states/eV/cell
raw total energy	-7.9927	eV/atom
calculated volume	141	Å³/f.u.
space-group type	P312, No. 149
M_tot	0.00	μB/cell
crystal system	trigonal
raw formation energy	-2.66	eV/atom

```
9
Lattice="5.713 0.000 0.000 -2.857 4.948 0.000 0.000 0.000 4.975" Properties=species:S:1:pos:R:3 pbc="T T T"
Na 0.000 0.000 0.000
Th 0.000 3.299 0.000
Pa 2.857 1.649 2.487
O 2.052 0.077 1.259
O 1.092 1.738 3.716
O 3.661 0.077 3.716
O 1.897 3.133 1.259
O 4.621 1.738 1.259
O 3.816 3.133 3.716
```